Entry 1:
Entry from Alexandria: a relaxed structure of Li2Ho2ZrS6 (PBE).

Lattice parameters (Å, degrees): 6.6584 6.6584 6.5190 99.26 99.26 119.64
Fractional positions:
1 S 0.6046 0.9282 0.2588
2 S 0.3954 0.0718 0.7412
3 S 0.7616 0.7616 0.7416
4 S 0.9282 0.6046 0.2588
5 S 0.2384 0.2384 0.2584
6 S 0.0718 0.3954 0.7412
7 Li 0.1596 0.8404 0.0000
8 Li 0.8404 0.1596 0.0000
9 Ho 0.6658 0.3342 0.5000
10 Ho 0.3342 0.6658 0.5000
11 Zr 0.0000 0.0000 0.5000

Values from the calculation:
The calculation puts the uncorrected formation energy at -1752 meV per atom.

Entry 2:
Entry from Alexandria: a relaxed structure of NpP2Au (PBE).

Lattice parameters (Å, degrees): 3.5589 4.4389 4.4389 90.00 90.00 90.00
Each line ends with the local moment (μB).
Fractional positions:
1 Au 0.5000 0.0000 0.0000  0.01
2 P 0.0000 0.0000 0.5000  -0.09
3 P 0.0000 0.5000 0.0000  -0.09
4 Np 0.5000 0.5000 0.5000  2.88

Values from the calculation:
The calculation puts the formation energy at -0.380 eV/atom.

Entry 3:
Entry from Alexandria: a relaxed structure of Li4HoEr3Te8 (PBE).

Lattice parameters (Å, degrees): 8.6367 8.6399 8.6359 120.02 120.00 90.00
Fractional positions:
1 Te 0.2518 0.7537 0.5035
2 Te 0.2488 0.2467 0.4976
3 Te 0.7512 0.7533 0.5024
4 Te 0.2518 0.7537 0.0023
5 Te 0.2495 0.2463 0.9977
6 Te 0.7505 0.7537 0.0023
7 Te 0.7482 0.2463 0.9977
8 Te 0.7482 0.2463 0.4965
9 Er 0.5000 0.5000 0.0000
10 Er 0.0000 0.5000 0.5000
11 Er 0.5000 0.5000 0.5000
12 Li 0.0000 0.0000 0.0000
13 Li 0.5000 0.0000 0.0000
14 Li 0.0000 0.0000 0.5000
15 Li 0.5000 0.0000 0.5000
16 Ho 0.0000 0.5000 0.0000

Values from the calculation:
The calculation puts the uncorrected formation energy at -1282 meV per atom.

Entry 4:
Entry from Alexandria: a relaxed structure of Ba2LaAs (PBE).

Lattice parameters (Å, degrees): 11.5326 11.5326 8.6734 48.33 48.33 90.00
Each line ends with the local moment (μB).
Fractional positions:
1 Ba 0.3750 0.5066 0.7500  0.05
2 Ba 0.2566 0.6250 0.2500  0.05
3 Ba 0.4934 0.1250 0.2500  0.05
4 Ba 0.8750 0.7434 0.7500  0.05
5 As 0.2500 0.7500 0.5000  0.00
6 As 0.5000 0.5000 0.0000  0.00
7 La 0.7500 0.2500 0.5000  0.07
8 La 0.0000 0.0000 0.0000  0.07

Values from the calculation:
The calculation puts the formation energy at -0.401 eV/atom.

| no. | raw total energy (eV per atom) | ρ (g/cm3) |
| --- | --- | --- |
| 1 | -5.96 | 4.38 |
| 2 | -7.14 | 11.74 |
| 3 | -4.47 | 6.25 |
| 4 | -3.76 | 4.13 |